DFT (PBE) results for crystalline Ca3Bi2O7 at its relaxed geometry.

Theoretical density in g/cm³: 5.89
Energy relative to the elements, uncorrected in eV per atom: -2.017
E_tot in eV/atom: -6.0564

a = 10.607 Å, b = 10.607 Å, c = 6.105 Å
α = 90.00°, β = 90.00°, γ = 147.76°
Sites, in units of the cell vectors:
O 0.420 0.691 0.952
O 0.336 0.926 0.807
O 0.607 0.607 0.170
O 0.017 0.863 0.560
O 0.393 0.393 0.670
O 0.074 0.664 0.307
O 0.664 0.074 0.307
O 0.309 0.580 0.452
O 0.580 0.309 0.452
O 0.691 0.420 0.952
O 0.137 0.983 0.060
O 0.863 0.017 0.560
O 0.983 0.137 0.060
O 0.926 0.336 0.807
Bi 0.849 0.642 0.250
Bi 0.642 0.849 0.250
Bi 0.358 0.151 0.750
Bi 0.151 0.358 0.750
Ca 0.768 0.768 0.802
Ca 0.041 0.433 0.184
Ca 0.433 0.041 0.184
Ca 0.232 0.232 0.302
Ca 0.567 0.959 0.684
Ca 0.959 0.567 0.684

=====

DFT (PBE) results for crystalline CaBi2O4 at its relaxed geometry.

Theoretical density in g/cm³: 6.93
Energy relative to the elements, uncorrected in eV per atom: -1.642
E_tot in eV/atom: -5.8699

a = 7.074 Å, b = 7.074 Å, c = 7.074 Å
α = 60.00°, β = 60.00°, γ = 60.00°
Sites, in units of the cell vectors:
O 0.898 0.367 0.367
O 0.352 0.883 0.883
O 0.367 0.367 0.898
O 0.883 0.883 0.352
O 0.883 0.352 0.883
O 0.883 0.883 0.883
O 0.367 0.367 0.367
O 0.367 0.898 0.367
Bi 0.125 0.625 0.125
Bi 0.125 0.125 0.125
Bi 0.625 0.125 0.125
Bi 0.125 0.125 0.625
Ca 0.500 0.500 0.500
Ca 0.750 0.750 0.750

=====

DFT (PBE) results for crystalline CaBi2O4 at its relaxed geometry.

Theoretical density in g/cm³: 7.04
Energy relative to the elements, uncorrected in eV per atom: -1.572
E_tot in eV/atom: -5.7999

a = 5.849 Å, b = 5.849 Å, c = 7.866 Å
α = 90.00°, β = 90.00°, γ = 113.80°
Sites, in units of the cell vectors:
O 0.500 0.000 0.310
O 0.265 0.486 0.500
O 0.514 0.735 0.000
O 0.000 0.500 0.190
O 0.500 0.000 0.690
O 0.486 0.265 0.000
O 0.000 0.500 0.810
O 0.735 0.514 0.500
Bi 0.808 0.194 0.000
Bi 0.806 0.192 0.500
Bi 0.192 0.806 0.000
Bi 0.194 0.808 0.500
Ca 0.500 0.500 0.750
Ca 0.500 0.500 0.250

=====

DFT (PBE) results for crystalline Ca6BiO8 at its relaxed geometry.

Theoretical density in g/cm³: 4.17
Energy relative to the elements, uncorrected in eV per atom: -2.568
E_tot in eV/atom: -6.2722

a = 6.876 Å, b = 6.876 Å, c = 6.876 Å
α = 60.00°, β = 60.00°, γ = 60.00°
Sites, in units of the cell vectors:
Bi 0.000 0.000 0.000
O 0.767 0.233 0.233
O 0.233 0.767 0.233
O 0.750 0.750 0.750
O 0.250 0.250 0.250
O 0.233 0.233 0.767
O 0.767 0.767 0.233
O 0.233 0.767 0.767
O 0.767 0.233 0.767
Ca 0.500 0.500 0.000
Ca 0.500 0.000 0.000
Ca 0.000 0.500 0.500
Ca 0.500 0.000 0.500
Ca 0.000 0.500 0.000
Ca 0.000 0.000 0.500